Computed, not measured: Al2RePt after structural relaxation at the PBE-GGA level of DFT.

Cell lengths 5.079, 5.079, 5.079 Å; angles 137.68, 137.68, 61.40 degrees
Sites, in units of the cell vectors:
Al: 0.000 0.000 0.000
Al: 0.750 0.250 0.500
Re: 0.500 0.500 0.000
Pt: 0.250 0.750 0.500

Properties
The value obtained for the total energy is -27.46 eV per cell. The energy relative to the lowest polymorph listed for this composition is 230.6 meV/atom. Its formation energy is -1.482 eV per formula unit.